! GGA-PBE AlHgSBr, optimized geometry; values from VASP
! **Formation energy (no corrections)**: -0.77 eV/atom
! **ρ**: 4.437 Mg/m³
! **Raw total energy**: -12.93 eV/cell
! **Magnetic moment**: 0.000 μB/atom
&SYSTEM
  ibrav = 0, nat = 4, ntyp = 4
/
ATOMIC_SPECIES
Al 26.98 Al.upf
Hg 200.59 Hg.upf
S 32.06 S.upf
Br 79.90 Br.upf
CELL_PARAMETERS angstrom
3.687 0.000 0.000
-1.843 3.193 0.014
0.000 -2.002 10.787
ATOMIC_POSITIONS angstrom
Al 1.843 -0.286 5.575
Hg 0.000 0.776 10.213
S 1.843 1.839 6.556
Br 1.843 -0.276 3.332